Computed, not measured: a relaxed structure of U3TcC3 at the PBE level of DFT.

Cell lengths 6.557, 6.557, 7.607 Å; angles 64.47, 64.47, 60.00 degrees
Each line ends with the local moment (μB).
Atoms (fractional coordinates):
Tc1 0.685 0.685 0.945  -0.05
C1 0.580 0.193 0.376  -0.02
C2 0.420 0.807 0.624  -0.02
C3 0.149 0.420 0.624  -0.02
U1 0.452 0.078 0.720  0.26
U2 0.251 0.548 0.280  0.26
C4 0.851 0.580 0.376  -0.02
C5 0.807 0.149 0.624  -0.02
C6 0.193 0.851 0.376  -0.02
U3 0.078 0.749 0.720  0.26
U4 0.922 0.251 0.280  0.26
U5 0.749 0.452 0.720  0.26
Tc2 0.315 0.315 0.055  -0.05
U6 0.548 0.922 0.280  0.26

Values from the calculation:
The value obtained for the formation energy is 0.27 eV/atom. Its total energy is -9.9993 eV/atom. The total magnetic moment is 1.81 Bohr magnetons per cell.



Computed, not measured: a relaxed structure of HRuS2 at the PBE level of DFT.

Cell lengths 4.964, 4.964, 5.907 Å; angles 65.15, 65.15, 90.00 degrees
Atoms (fractional coordinates):
H1 0.250 0.750 0.500
Ru1 0.750 0.250 0.500
H2 0.500 0.500 0.000
S1 0.161 0.625 0.250
S2 0.589 0.125 0.250
S3 0.375 0.411 0.750
Ru2 0.000 0.000 0.000
S4 0.875 0.839 0.750

Values from the calculation:
Its total energy is -5.0332 eV/atom. The total magnetic moment is 0.00 Bohr magnetons per cell.



Computed, not measured: a relaxed structure of PuCl2 at the PBE level of DFT.

Cell lengths 4.014, 4.012, 13.390 Å; angles 90.00, 90.00, 120.02 degrees
Each line ends with the local moment (μB).
Atoms (fractional coordinates):
Pu1 0.923 0.846 0.504  5.68
Pu2 0.577 0.154 0.004  5.68
Cl1 0.243 0.487 0.884  -0.05
Cl2 0.257 0.513 0.384  -0.05
Cl3 0.590 0.179 0.623  -0.05
Cl4 0.910 0.821 0.123  -0.05

Values from the calculation:
The uncorrected formation energy comes out at -1757.2 meV per atom. Its total energy is -7.7656 eV/atom. The total magnetic moment is 12.00 Bohr magnetons per cell.